Record 1
First-principles (PBE) data for a relaxed structure of TiTcC2, as listed in Alexandria via LeMat-Bulk.

**DOS(E_F)**: 0.70 states/eV per atom
**Formation energy from the elements**: -0.236 eV/atom
**Space-group type**: R3m
**Magnetic moment**: 0.00 μB per cell

Lattice parameters (Å, degrees): 2.9838 2.9838 5.5287 74.34 74.34 60.00
Sites, in units of the cell vectors:
Tc1 0.4964 0.4964 0.5109
Ti1 0.6706 0.6706 0.9881
C1 0.2495 0.2495 0.2515
C2 0.0835 0.0835 0.7496


Record 2
First-principles (PBE) data for a relaxed structure of Tb3Sm7Tl2, as listed in Alexandria via LeMat-Bulk.

**DOS(E_F)**: 1.21 states/eV per atom
**Formation energy from the elements**: -0.013 eV/atom
**Space-group type**: P2/m
**Magnetic moment**: 0.00 μB per cell

Lattice parameters (Å, degrees): 3.6532 5.6948 18.6770 93.80 90.00 90.00
Sites, in units of the cell vectors:
Tb1 0.0000 0.7790 0.6367
Tb2 0.0000 0.2210 0.3633
Tb3 0.5000 0.5000 0.0000
Sm1 0.5000 0.8320 0.8277
Sm2 0.0000 0.0000 0.0000
Sm3 0.5000 0.2581 0.5379
Sm4 0.5000 0.7419 0.4621
Sm5 0.0000 0.6659 0.1497
Sm6 0.5000 0.1680 0.1723
Sm7 0.0000 0.3341 0.8503
Tl1 0.5000 0.7026 0.2949
Tl2 0.5000 0.2974 0.7051